Record 1
Entry from the Alexandria database: crystalline La3Sm6Tm2Sc at its relaxed geometry (PBE).

Total energy: -4.83 eV per atom

Cell: 6.252 6.252 11.927 Å, 95.02 95.02 120.04°
Element x y z (fractional)
1 Sc 0.000 0.000 0.000
2 Tm 0.333 0.667 0.000
3 Tm 0.667 0.333 0.000
4 Sm 0.590 0.920 0.760
5 Sm 0.251 0.251 0.760
6 Sm 0.080 0.410 0.240
7 Sm 0.410 0.080 0.240
8 Sm 0.749 0.749 0.240
9 Sm 0.920 0.590 0.760
10 La 0.500 0.500 0.500
11 La 0.833 0.167 0.500
12 La 0.167 0.833 0.500



Record 2
Entry from the Alexandria database: crystalline La5SmTm2Sc at its relaxed geometry (PBE).

Total energy: -4.83 eV per atom

Cell: 5.438 11.261 10.451 Å, 90.00 90.00 103.97°
Element x y z (fractional)
1 Tm 0.116 0.232 0.761
2 Tm 0.887 0.774 0.752
3 Tm 0.884 0.768 0.261
4 Tm 0.113 0.226 0.252
5 La 0.723 0.446 0.824
6 La 0.281 0.562 0.699
7 La 0.499 0.998 0.256
8 La 0.002 0.003 0.507
9 La 0.998 0.997 0.007
10 La 0.628 0.255 0.507
11 La 0.277 0.554 0.324
12 La 0.372 0.745 0.007
13 La 0.719 0.438 0.199
14 La 0.501 0.002 0.756
15 Sc 0.790 0.580 0.511
16 Sc 0.210 0.420 0.011
17 Sm 0.399 0.798 0.507
18 Sm 0.601 0.202 0.007



Record 3
Entry from the Alexandria database: crystalline La4Sm2TmSc at its relaxed geometry (PBE).

Total energy: -4.97 eV per atom

Cell: 5.200 5.173 11.238 Å, 62.58 90.00 90.00°
Element x y z (fractional)
1 Sc 0.000 0.500 0.500
2 Sm 0.500 0.000 0.500
3 Sm 0.000 0.000 0.000
4 La 0.500 0.253 0.747
5 La 0.000 0.245 0.254
6 La 0.000 0.755 0.746
7 La 0.500 0.747 0.253
8 Tm 0.500 0.500 0.000



Record 4
Entry from the Alexandria database: crystalline La4SmTm2Sc at its relaxed geometry (PBE).

Total energy: -4.90 eV per atom

Cell: 5.845 5.854 9.774 Å, 53.22 90.00 90.00°
Element x y z (fractional)
1 La 0.500 0.263 0.738
2 La 0.000 0.239 0.262
3 La 0.500 0.737 0.262
4 La 0.000 0.761 0.738
5 Sc 0.000 0.500 0.500
6 Sm 0.500 0.500 0.000
7 Tm 0.500 0.000 0.500
8 Tm 0.000 0.000 0.000



Record 5
Entry from the Alexandria database: crystalline LaSm2Tm4Sc at its relaxed geometry (PBE).

Total energy: -4.41 eV per atom

Cell: 9.375 9.375 11.652 Å, 128.42 128.42 88.37°
Each line ends with the local moment (μB).
Element x y z (fractional)
1 Tm 0.751 0.750 0.515  0.06
2 Tm 0.250 0.251 0.015  0.06
3 Tm 0.264 0.739 0.502  0.09
4 Tm 0.761 0.236 0.998  0.09
5 Tm 0.750 0.749 0.985  0.06
6 Tm 0.239 0.764 0.002  0.09
7 Tm 0.736 0.261 0.498  0.09
8 Tm 0.249 0.250 0.485  0.06
9 Sm 0.500 0.000 0.500  0.04
10 Sm 0.500 0.000 0.000  0.04
11 Sm 0.500 0.500 0.000  0.09
12 Sm 0.000 0.000 0.500  0.09
13 Sc 0.500 0.500 0.500  0.08
14 Sc 0.000 0.000 0.000  0.08
15 La 0.000 0.500 0.000  0.05
16 La 0.000 0.500 0.500  0.05



Record 6
Entry from the Alexandria database: crystalline La2Sm3Tm6Sc at its relaxed geometry (PBE).

Total energy: -4.74 eV per atom

Cell: 6.145 6.145 11.707 Å, 95.01 95.01 120.01°
Element x y z (fractional)
1 Sc 0.000 0.000 0.000
2 Sm 0.500 0.500 0.500
3 Sm 0.833 0.167 0.500
4 Sm 0.167 0.833 0.500
5 Tm 0.413 0.083 0.250
6 Tm 0.753 0.753 0.251
7 Tm 0.917 0.587 0.750
8 Tm 0.247 0.247 0.749
9 Tm 0.083 0.413 0.250
10 Tm 0.587 0.917 0.750
11 La 0.666 0.334 0.000
12 La 0.334 0.666 0.000



| no. | energy relative to the elements (meV per atom) |
| --- | --- |
| 1 | 37.6 |
| 2 | 125.8 |
| 3 | 28.4 |
| 4 | 66.5 |
| 5 | 417.2 |
| 6 | 28.3 |